# 1
The following is a DFT calculation (PBE) of a relaxed V4H6Ru7 crystal.

- space-group type = I4/mmm, No. 139
- DFT total energy (eV per cell) = -115.9
- DOS at the Fermi energy (states/eV/cell) = 11.75

```
V4H6Ru7
1.0
6.168 1.014 -1.561
-2.791 4.836 -3.215
0.584 -1.014 6.336
H Ru V
6 7 4
direct
0.643 0.643 0.000
0.000 0.326 0.326
0.000 0.674 0.674
0.644 0.000 0.644
0.357 0.357 0.000
0.356 0.000 0.356
0.776 0.500 0.276
0.224 0.500 0.724
0.500 0.250 0.750
0.000 0.000 0.000
0.224 0.724 0.500
0.500 0.750 0.250
0.776 0.276 0.500
0.500 0.500 0.500
0.000 0.500 0.000
0.000 0.000 0.500
0.500 0.000 0.000
```

=====

# 2
The following is a DFT calculation (PBE) of a relaxed VH4Ru5 crystal.

- space-group type = C2/m, No. 12
- DFT total energy (eV per cell) = -69.1
- DOS at the Fermi energy (states/eV/cell) = 6.07

```
VH4Ru5
1.0
-1.332 2.205 1.036
-3.687 -0.277 -4.150
-1.797 -4.596 3.750
Ru V H
5 1 4
direct
0.832 0.659 0.665
0.835 0.171 0.670
0.168 0.341 0.335
0.500 0.500 0.000
0.165 0.829 0.330
0.500 0.000 0.000
0.332 0.913 0.664
0.001 0.244 0.003
0.999 0.756 0.997
0.668 0.087 0.336
```

=====

# 3
The following is a DFT calculation (PBE) of a relaxed V2HRu2 crystal.

- space-group type = C2/m, No. 12
- DFT total energy (eV per cell) = -81.6
- DOS at the Fermi energy (states/eV/cell) = 9.09

```
V2HRu2
1.0
4.495 0.130 0.088
-0.073 2.823 -0.453
1.585 0.042 9.039
H V Ru
2 4 4
direct
0.777 0.242 0.484
0.473 0.508 0.016
0.612 0.061 0.123
0.638 0.689 0.377
0.837 0.437 0.874
0.413 0.313 0.626
0.081 0.567 0.134
0.333 0.929 0.858
0.169 0.183 0.366
0.917 0.821 0.642
```

=====

# 4
The following is a DFT calculation (PBE) of a relaxed V3H7Ru crystal.

- space-group type = Cm, No. 8
- DFT total energy (eV per cell) = -61.6
- DOS at the Fermi energy (states/eV/cell) = 4.65

```
V3H7Ru
1.0
-0.198 3.291 2.582
3.062 -1.627 2.347
4.275 2.829 0.099
H V Ru
7 3 1
direct
0.128 0.128 0.251
0.620 0.125 0.253
0.620 0.620 0.251
0.125 0.620 0.253
0.877 0.380 0.747
0.380 0.877 0.747
0.872 0.872 0.750
0.744 0.253 0.505
0.500 0.500 0.993
0.253 0.744 0.505
0.008 0.008 0.996
```

=====

# 5
The following is a DFT calculation (PBE) of a relaxed V3HRu crystal.

- space-group type = Pm-3m, No. 221
- DFT total energy (eV per cell) = -40.3
- offset from the most stable computed form (meV per atom) = 0
- DOS at the Fermi energy (states/eV/cell) = 7.72

```
V3HRu
1.0
-1.681 1.329 3.190
-3.451 -0.835 -1.470
0.185 -3.508 1.559
Ru V H
1 3 1
direct
0.500 0.500 0.500
0.000 0.500 0.000
0.000 0.000 0.500
0.500 0.000 0.000
0.000 0.000 0.000
```

=====

# 6
The following is a DFT calculation (PBE) of a relaxed V2H2Ru crystal.

- space-group type = C2/m, No. 12
- DFT total energy (eV per cell) = -35.0
- offset from the most stable computed form (meV per atom) = 56
- DOS at the Fermi energy (states/eV/cell) = 3.53

```
V2H2Ru
1.0
2.754 0.000 0.000
0.000 3.871 -0.373
-1.377 -1.529 4.331
Ru V H
1 2 2
direct
0.000 0.000 0.000
0.340 0.341 0.680
0.660 0.659 0.320
0.680 0.180 0.360
0.320 0.820 0.640
```